Entry 1:
Here is a geometry-optimized Y2CdMo structure from the Alexandria database. Energies are from PBEsol.

Values from the calculation:
ΔH_f (0 K) = 379 meV per atom

a b c (Å): 5.168 5.168 5.945
angles (deg): 99.34 99.34 35.35
Sites, in units of the cell vectors:
Y 0.244 0.244 0.238
Y 0.756 0.756 0.762
Cd 0.000 0.000 0.500
Mo 0.500 0.500 0.000

Entry 2:
Here is a geometry-optimized ZnCdMo2 structure from the Alexandria database. Energies are from PBEsol.

Values from the calculation:
polymorph energy (0 for the lowest one) = 0.008 eV per atom
ΔH_f (0 K) = 314 meV per atom

a b c (Å): 3.479 4.026 4.472
angles (deg): 90.00 90.00 90.00
Sites, in units of the cell vectors:
Zn 0.000 0.000 0.000
Cd 0.500 0.500 0.000
Mo 0.000 0.500 0.500
Mo 0.500 0.000 0.500

Entry 3:
Here is a geometry-optimized ZnCd2Mo structure from the Alexandria database. Energies are from PBEsol.

Values from the calculation:
ΔH_f (0 K) = 225 meV per atom

a b c (Å): 2.780 2.780 9.033
angles (deg): 90.00 90.00 101.64
Sites, in units of the cell vectors:
Zn 0.000 0.000 0.000
Cd 0.000 0.000 0.530
Cd 0.500 0.500 0.249
Mo 0.500 0.500 0.782

Entry 4:
Here is a geometry-optimized ZnCdMo2 structure from the Alexandria database. Energies are from PBEsol.

Values from the calculation:
polymorph energy (0 for the lowest one) = 0.009 eV per atom
ΔH_f (0 K) = 316 meV per atom

a b c (Å): 4.825 4.825 5.143
angles (deg): 94.56 94.56 32.10
Sites, in units of the cell vectors:
Zn 0.000 0.000 0.000
Cd 0.249 0.249 0.771
Mo 0.500 0.500 0.479
Mo 0.742 0.742 0.269

Entry 5:
Here is a geometry-optimized ZnCd2Mo structure from the Alexandria database. Energies are from PBEsol.

Values from the calculation:
ΔH_f (0 K) = 498 meV per atom

a b c (Å): 4.601 4.601 4.601
angles (deg): 60.00 60.00 60.00
Sites, in units of the cell vectors:
Zn 0.000 0.000 0.000
Cd 0.500 0.500 0.500
Cd 0.750 0.750 0.750
Mo 0.250 0.250 0.250

Entry 6:
Here is a geometry-optimized ZnCd2Mo structure from the Alexandria database. Energies are from PBEsol.

Values from the calculation:
ΔH_f (0 K) = 327 meV per atom

a b c (Å): 2.822 3.994 6.057
angles (deg): 90.00 90.00 90.00
Sites, in units of the cell vectors:
Zn 0.000 0.000 0.000
Cd 0.000 0.000 0.538
Cd 0.500 0.500 0.268
Mo 0.500 0.500 0.795

Entry 7:
Here is a geometry-optimized ZnCd2Mo structure from the Alexandria database. Energies are from PBEsol.

Values from the calculation:
ΔH_f (0 K) = 235 meV per atom

a b c (Å): 2.793 2.793 8.748
angles (deg): 90.00 90.00 90.00
Sites, in units of the cell vectors:
Zn 0.000 0.000 0.000
Cd 0.000 0.000 0.530
Cd 0.500 0.500 0.248
Mo 0.500 0.500 0.783

Entry 8:
Here is a geometry-optimized ZnCdMo2 structure from the Alexandria database. Energies are from PBEsol.

Values from the calculation:
polymorph energy (0 for the lowest one) = 0.006 eV per atom
ΔH_f (0 K) = 312 meV per atom

a b c (Å): 2.682 2.682 8.684
angles (deg): 90.00 90.00 90.00
Sites, in units of the cell vectors:
Zn 0.000 0.000 0.000
Cd 0.000 0.000 0.500
Mo 0.500 0.500 0.234
Mo 0.500 0.500 0.766

Entry 9:
Here is a geometry-optimized ZnCdMo2 structure from the Alexandria database. Energies are from PBEsol.

Values from the calculation:
polymorph energy (0 for the lowest one) = 0.000 eV per atom
ΔH_f (0 K) = 306 meV per atom

a b c (Å): 2.679 2.679 8.818
angles (deg): 90.00 90.00 98.47
Sites, in units of the cell vectors:
Zn 0.000 0.000 0.000
Cd 0.000 0.000 0.500
Mo 0.500 0.500 0.234
Mo 0.500 0.500 0.766

Entry 10:
Here is a geometry-optimized ZnCd2Mo structure from the Alexandria database. Energies are from PBEsol.

Values from the calculation:
ΔH_f (0 K) = 255 meV per atom

a b c (Å): 3.994 3.994 4.195
angles (deg): 90.00 90.00 90.00
Sites, in units of the cell vectors:
Zn 0.000 0.000 0.000
Cd 0.000 0.500 0.500
Cd 0.500 0.000 0.500
Mo 0.500 0.500 0.000

Entry 11:
Here is a geometry-optimized ZrCd2Mo structure from the Alexandria database. Energies are from PBEsol.

Values from the calculation:
ΔH_f (0 K) = 261 meV per atom

a b c (Å): 10.340 10.340 10.340
angles (deg): 16.16 16.16 16.16
Sites, in units of the cell vectors:
Zr 0.000 0.000 0.000
Cd 0.246 0.246 0.246
Cd 0.754 0.754 0.754
Mo 0.500 0.500 0.500

Entry 12:
Here is a geometry-optimized CdN structure from the Alexandria database. Energies are from PBEsol.

Values from the calculation:
ΔE_f (raw) = 207 meV/atom

a b c (Å): 2.937 4.889 8.469
angles (deg): 95.72 97.52 90.01
Sites, in units of the cell vectors:
Cd 0.000 0.000 0.000
Cd 0.499 0.500 0.998
N 0.487 0.803 0.460
N 0.517 0.637 0.541

Please write out number 7 again, unchanged.
Here is a geometry-optimized ZnCd2Mo structure from the Alexandria database. Energies are from PBEsol.

Values from the calculation:
ΔH_f (0 K) = 235 meV per atom

a b c (Å): 2.793 2.793 8.748
angles (deg): 90.00 90.00 90.00
Sites, in units of the cell vectors:
Zn 0.000 0.000 0.000
Cd 0.000 0.000 0.530
Cd 0.500 0.500 0.248
Mo 0.500 0.500 0.783